VASP calculation (PBE) on Li3Si after structural relaxation.

abc: 4.4465 5.3230 6.0357
angles: 90.00 90.00 114.69
Closest atoms and distances in Å follow each position.
Atoms (fractional coordinates):
Si 0.3371 0.6741 0.7500  7 Li 2.55-2.64
Li 0.1382 0.2764 0.4725  3 Si 2.55-2.61, 5 Li 2.69-2.80
Si 0.6629 0.3259 0.2500  7 Li 2.55-2.64
Li 0.6105 0.2210 0.7500  1 Si 2.64, 6 Li 2.78-2.80
Li 0.8618 0.7236 0.5275  3 Si 2.55-2.61, 5 Li 2.69-2.80
Li 0.8618 0.7236 0.9725  3 Si 2.55-2.61, 5 Li 2.69-2.80
Li 0.3895 0.7790 0.2500  1 Si 2.64, 6 Li 2.78-2.80
Li 0.1382 0.2764 0.0275  3 Si 2.55-2.61, 5 Li 2.69-2.80

Values from the calculation:
Space group: Cmcm
Energy relative to the elements, uncorrected, eV/atom: -0.09
N(E_F), states/eV/atom: 0.430
E, eV/cell: -23.0

VASP calculation (PBE) on Li4Si after structural relaxation.

abc: 5.1446 5.1446 5.1446
angles: 109.47 109.47 109.47
Closest atoms and distances in Å follow each position.
Atoms (fractional coordinates):
Li 0.0000 0.5000 0.0000  2 Si 2.57
Li 0.5000 0.0000 0.0000  2 Si 2.57
Si 0.0000 0.0000 0.0000  8 Li 2.57
Li 0.0000 0.0000 0.5000  2 Si 2.57
Li 0.5000 0.5000 0.5000  2 Si 2.57

Values from the calculation:
Space group: Im-3m
Energy relative to the elements, uncorrected, eV/atom: -0.09
N(E_F), states/eV/atom: 0.141
E, eV/cell: -13.5
E above lowest polymorph, kcal/mol of atoms: 1.02

VASP calculation (PBE) on LiSi3 after structural relaxation.

abc: 5.1925 5.1925 5.1925
angles: 117.35 117.35 117.35
Closest atoms and distances in Å follow each position.
Atoms (fractional coordinates):
Si 0.5000 0.0000 0.5000  6 Si 2.56-2.70, 2 Li 2.70
Si 0.5000 0.5000 0.0000  6 Si 2.56-2.70, 2 Li 2.70
Li 0.0000 0.0000 0.0000  2 Li 2.56, 6 Si 2.70
Si 0.0000 0.5000 0.5000  6 Si 2.56-2.70, 2 Li 2.70

Values from the calculation:
Space group: R-3m
Energy relative to the elements, uncorrected, eV/atom: 0.24
N(E_F), states/eV/atom: 0.375
E, eV/cell: -17.2
E above lowest polymorph, kcal/mol of atoms: 4.81

VASP calculation (PBE) on LiSi3 after structural relaxation.

abc: 4.7122 4.7122 4.7122
angles: 132.00 132.00 70.23
Closest atoms and distances in Å follow each position.
Atoms (fractional coordinates):
Si 0.7500 0.2500 0.5000  8 Si 2.71-2.72, 4 Li 2.72
Si 0.2500 0.7500 0.5000  8 Si 2.71-2.72, 4 Li 2.72
Li 0.0000 0.0000 0.0000  12 Si 2.71-2.72
Si 0.5000 0.5000 0.0000  4 Li 2.71, 8 Si 2.72

Values from the calculation:
Space group: I4/mmm
Energy relative to the elements, uncorrected, eV/atom: 0.19
N(E_F), states/eV/atom: 0.263
E, eV/cell: -17.4
E above lowest polymorph, kcal/mol of atoms: 3.51